Entry 1:
First-principles (PBE) data for crystalline PuTc at its relaxed geometry, as listed in OQMD.

abc: 3.7879 3.7879 3.7879
angles: 60.00 60.00 60.00
Atoms (fractional coordinates):
Tc: 0.5000 0.5000 0.5000
Pu: 0.0000 0.0000 0.0000

Computed properties:
Its crystal system is cubic. The formation energy comes out at 0.8 eV per formula unit. The space-group type is No. 225.


Entry 2:
First-principles (PBE) data for crystalline Pu2TlTc at its relaxed geometry, as listed in OQMD.

abc: 3.2412 3.2412 8.7652
angles: 90.00 90.00 90.00
Atoms (fractional coordinates):
Pu: 0.5000 0.5000 0.2044
Pu: 0.5000 0.5000 0.7956
Tl: 0.0000 0.0000 0.5000
Tc: 0.0000 0.0000 0.0000

Computed properties:
Its crystal system is tetragonal. The electronic total energy is -0.38106 hartree per atom. The space-group type is No. 123.


Entry 3:
First-principles (PBE) data for crystalline PuTcW at its relaxed geometry, as listed in OQMD.

abc: 4.3351 4.3351 4.3351
angles: 60.00 60.00 60.00
Atoms (fractional coordinates):
Tc: 0.7500 0.7500 0.7500
Pu: 0.0000 0.0000 0.0000
W: 0.2500 0.2500 0.2500

Computed properties:
Its crystal system is cubic. The formation energy comes out at 3.1 eV per formula unit. The space-group type is No. 216.


Entry 4:
First-principles (PBE) data for crystalline PuTcW at its relaxed geometry, as listed in OQMD.

abc: 4.3526 4.3526 4.3526
angles: 60.00 60.00 60.00
Atoms (fractional coordinates):
Tc: 0.5000 0.5000 0.5000
Pu: 0.0000 0.0000 0.0000
W: 0.2500 0.2500 0.2500

Computed properties:
Its crystal system is cubic. The formation energy comes out at 2.0 eV per formula unit. The space-group type is No. 216.


Entry 5:
First-principles (PBE) data for crystalline Pu3Te4 at its relaxed geometry, as listed in OQMD.

abc: 8.0959 8.0959 8.0959
angles: 109.47 109.47 109.47
Atoms (fractional coordinates):
Te: 0.5000 0.0000 0.8504
Pu: 0.6250 0.3750 0.2500
Pu: 0.1250 0.7500 0.8750
Te: 0.1496 0.1496 0.1496
Te: 0.0000 0.3504 0.5000
Pu: 0.8750 0.1250 0.7500
Pu: 0.2500 0.6250 0.3750
Te: 0.8504 0.5000 0.0000
Pu: 0.3750 0.2500 0.6250
Te: 0.6496 0.6496 0.6496
Pu: 0.7500 0.8750 0.1250
Te: 0.3504 0.5000 0.0000
Te: 0.5000 0.0000 0.3504
Te: 0.0000 0.8504 0.5000

Computed properties:
Its crystal system is cubic. The electronic total energy is -0.33233 hartree per atom. The space-group type is No. 220.


Entry 6:
First-principles (PBE) data for crystalline PuTe2 at its relaxed geometry, as listed in OQMD.

abc: 8.9603 4.4424 8.8608
angles: 90.00 90.06 90.00
Atoms (fractional coordinates):
Te: 0.2769 0.9976 0.7508
Te: 0.6402 0.9994 0.5013
Te: 0.2768 0.4972 0.0008
Pu: 0.0016 0.0009 0.0003
Te: 0.9135 0.5005 0.7503
Te: 0.2769 0.0024 0.2508
Pu: 0.0016 0.9991 0.5003
Te: 0.2768 0.5028 0.5008
Te: 0.9135 0.4995 0.2503
Pu: 0.5520 0.5010 0.7514
Pu: 0.5520 0.4990 0.2514
Te: 0.6402 0.0006 0.0013

Computed properties:
Its crystal system is monoclinic. The electronic total energy is -0.28608 hartree per atom. The space-group type is No. 14.


Entry 7:
First-principles (PBE) data for crystalline PuTe at its relaxed geometry, as listed in OQMD.

abc: 4.4408 4.4408 4.4408
angles: 60.00 60.00 60.00
Atoms (fractional coordinates):
Pu: 0.0000 0.0000 0.0000
Te: 0.5000 0.5000 0.5000

Computed properties:
Its crystal system is cubic. The electronic total energy is -0.36105 hartree per atom. The space-group type is No. 225.


Entry 8:
First-principles (PBE) data for crystalline PuTe at its relaxed geometry, as listed in OQMD.

abc: 3.7970 3.7970 3.7970
angles: 90.00 90.00 90.00
Atoms (fractional coordinates):
Te: 0.5000 0.5000 0.5000
Pu: 0.0000 0.0000 0.0000

Computed properties:
Its crystal system is cubic. The electronic total energy is -0.35781 hartree per atom. The space-group type is No. 221.